[1]
DFT (PBE) results for crystalline V2RhWN at its relaxed geometry.

Geometry as POSCAR:
```
V2RhWN
1.0
4.576 0.000 0.000
0.000 4.667 0.000
0.000 0.000 4.576
W Rh V N
1 1 2 1
direct
0.000 0.000 0.000 W
0.000 0.500 0.000 Rh
0.500 0.000 0.000 V
0.000 0.000 0.500 V
0.500 0.500 0.500 N
```

- Space-group type: P4/mmm, No. 123
- Excess energy over the best structure of this formula in the dataset: 2936 meV/atom

---

[2]
DFT (PBE) results for crystalline CuTe2Mo at its relaxed geometry.

Geometry as POSCAR:
```
CuTe2Mo
1.0
3.391 0.000 0.000
0.000 3.401 -0.015
0.000 2.363 6.902
Cu Te Mo
1 2 1
direct
0.500 0.250 0.250 Cu
0.000 0.404 0.514 Te
0.000 0.096 0.986 Te
0.500 0.750 0.750 Mo
```

- Space-group type: P2/m, No. 10
- Excess energy over the best structure of this formula in the dataset: 149 meV/atom

---

[3]
DFT (PBE) results for crystalline Ti2Be2ZnCo5 at its relaxed geometry.

Geometry as POSCAR:
```
Ti2Be2ZnCo5
1.0
3.028 0.000 0.000
0.000 8.576 0.000
0.000 0.000 8.576
Be Co Zn Ti
4 10 2 4
direct
0.000 0.379 0.121 Be
0.000 0.879 0.379 Be
0.000 0.121 0.621 Be
0.000 0.621 0.879 Be
0.500 0.431 0.286 Co
0.500 0.000 0.500 Co
0.500 0.931 0.214 Co
0.500 0.569 0.714 Co
0.500 0.214 0.069 Co
0.500 0.714 0.431 Co
0.500 0.786 0.931 Co
0.500 0.500 0.000 Co
0.500 0.286 0.569 Co
0.500 0.069 0.786 Co
0.000 0.000 0.000 Zn
0.000 0.500 0.500 Zn
0.000 0.824 0.676 Ti
0.000 0.324 0.824 Ti
0.000 0.676 0.176 Ti
0.000 0.176 0.324 Ti
```

- Total DFT energy (no corrections): -125.942 eV per cell
- Space-group type: P4/mbm, No. 127

---

[4]
DFT (PBE) results for crystalline NaCeTlSb at its relaxed geometry.

Geometry as POSCAR:
```
NaCeTlSb
1.0
-2.867 3.309 -3.179
0.904 0.083 -5.334
-3.684 -2.035 -3.400
Sb Tl Ce Na
1 1 1 1
direct
0.750 0.750 0.750 Sb
0.250 0.250 0.250 Tl
0.500 0.500 0.500 Ce
0.000 0.000 0.000 Na
```

- Total DFT energy (no corrections): -15.213 eV per cell
- Space-group type: F-43m, No. 216

---

[5]
DFT (PBE) results for crystalline Zr4IrOs at its relaxed geometry.

Geometry as POSCAR:
```
Zr4IrOs
1.0
-4.757 0.480 2.681
-3.425 4.105 -1.209
-4.720 -1.040 -2.585
Zr Os Ir
4 1 1
direct
0.375 0.375 0.375 Zr
0.375 0.375 0.875 Zr
0.375 0.875 0.375 Zr
0.875 0.375 0.375 Zr
0.000 0.000 0.000 Os
0.750 0.750 0.750 Ir
```

- Space-group type: F-43m, No. 216
- Excess energy over the best structure of this formula in the dataset: 923 meV/atom

---

[6]
DFT (PBE) results for crystalline Ca3C at its relaxed geometry.

Geometry as POSCAR:
```
Ca3C
1.0
4.488 0.000 0.000
0.000 4.489 0.000
0.000 0.000 6.075
C Ca
1 3
direct
0.000 0.000 0.140 C
0.500 0.500 0.879 Ca
0.500 0.000 0.324 Ca
0.000 0.500 0.324 Ca
```

- Space-group type: P4mm, No. 99
- Excess energy over the best structure of this formula in the dataset: 404 meV/atom

---

[7]
DFT (PBE) results for crystalline La4PdBr2Cl at its relaxed geometry.

Geometry as POSCAR:
```
La4PdBr2Cl
1.0
-3.608 1.013 1.777
-4.041 -3.770 -6.056
-1.022 -6.862 1.839
Cl La Br Pd
1 4 2 1
direct
0.000 0.500 0.500 Cl
0.000 0.713 0.762 La
0.500 0.719 0.273 La
0.500 0.281 0.727 La
0.000 0.287 0.238 La
0.000 0.000 0.000 Br
0.500 0.000 0.500 Br
0.500 0.500 0.000 Pd
```

- Total DFT energy (no corrections): -39.997 eV per cell
- Space-group type: P2/m, No. 10

---

[8]
DFT (PBE) results for crystalline RbMgCo2 at its relaxed geometry.

Geometry as POSCAR:
```
RbMgCo2
1.0
-3.586 -1.214 2.916
-2.258 -2.100 -3.651
1.418 -9.749 1.602
Mg Rb Co
2 2 4
direct
0.500 0.500 0.000 Mg
0.250 0.750 0.500 Mg
0.000 0.000 0.000 Rb
0.750 0.250 0.500 Rb
0.375 0.625 0.250 Co
0.375 0.125 0.250 Co
0.875 0.625 0.750 Co
0.375 0.625 0.750 Co
```

- Total DFT energy (no corrections): -25.901 eV per cell
- Space-group type: I4_1/amd, No. 141